Record 1
First-principles (PBE) data for TaSn2MoN after structural relaxation, as listed in Alexandria via LeMat-Bulk.

- raw formation energy (meV/atom) = 425.3

Cell: 4.7271 4.7271 3.9842 Å, 90.00 90.00 90.00°
Last column: nearest neighbours and their distance in Å.
Space group P4/mmm (No. 123)
Asymmetric unit:
Ta (0.0000, 0.0000, 0.0000) x1  2 N 1.99
Sn (0.0000, 0.5000, 0.5000) x2  2 N 2.36
Mo (0.5000, 0.5000, 0.0000) x1  8 Sn 3.09, 4 Ta 3.34
N (0.0000, 0.0000, 0.5000) x1  2 Ta 1.99

Record 2
First-principles (PBE) data for SnTe2MoN after structural relaxation, as listed in Alexandria via LeMat-Bulk.

- raw formation energy (meV/atom) = 1273.9
- excess energy over the best structure of this formula in the dataset (eV per formula unit) = 5.639

Cell: 5.7768 5.7768 3.8987 Å, 90.00 90.00 90.00°
Last column: nearest neighbours and their distance in Å.
Space group P4/mmm (No. 123)
Asymmetric unit:
Sn (0.0000, 0.0000, 0.0000) x1  2 N 1.95
Te (0.0000, 0.5000, 0.0000) x2  2 Sn 2.89
Mo (0.5000, 0.5000, 0.5000) x1  8 Te 3.48, 2 Mo 3.90
N (0.0000, 0.0000, 0.5000) x1  2 Sn 1.95

Record 3
First-principles (PBE) data for SnTe2MoN after structural relaxation, as listed in Alexandria via LeMat-Bulk.

- raw formation energy (meV/atom) = 146.0
- excess energy over the best structure of this formula in the dataset (eV per formula unit) = 0.000

Cell: 5.5628 5.5628 3.8262 Å, 90.00 90.00 90.00°
Last column: nearest neighbours and their distance in Å.
Space group P4/mmm (No. 123)
Asymmetric unit:
Sn (0.0000, 0.0000, 0.0000) x1  8 Te 3.38
Te (0.0000, 0.5000, 0.5000) x2  2 Mo 2.78
Mo (0.5000, 0.5000, 0.5000) x1  2 N 1.91
N (0.5000, 0.5000, 0.0000) x1  2 Mo 1.91

Record 4
First-principles (PBE) data for Zn2SnMoN4 after structural relaxation, as listed in Alexandria via LeMat-Bulk.

- raw formation energy (meV/atom) = 33.5

Cell: 6.8734 7.3678 8.8575 Å, 90.00 90.00 90.00°
Last column: nearest neighbours and their distance in Å.
Space group Fmm2 (No. 42)
Asymmetric unit:
Zn (0.2500, 0.2500, 0.0000) x8  4 N 2.09-2.12
Sn (0.0000, 0.0000, 0.2322) x4  4 N 2.28-2.38
Mo (0.0000, 0.0000, 0.7561) x4  4 N 1.87-1.93
N (0.0000, 0.2022, 0.6287) x8  1 Mo 1.87, 2 Zn 2.09
N (0.2298, 0.0000, 0.8822) x8  1 Mo 1.93, 2 Zn 2.12